DFT (GGA-PBE) results for a geometry-optimized Ce2CuP3Ir4 structure.

```
Ce2CuP3Ir4
1.0
4.065 0.000 0.000
0.000 4.065 0.000
0.000 0.000 10.040
Ce Cu P Ir
2 1 3 4
Direct
0.000 0.500 0.244
0.500 0.000 0.756
0.500 0.500 0.000
0.000 0.000 0.000
0.000 0.500 0.635
0.500 0.000 0.365
0.000 0.000 0.500
0.000 0.500 0.863
0.500 0.000 0.137
0.500 0.500 0.500
```

Values from the calculation:
* calculated volume: 16.6 Å³ per atom
* DFT formation energy: -0.890 eV per atom
* total energy: -76.53 eV per cell